Density functional theory data (GGA-PBE) for crystalline SiAsC2 at its relaxed geometry.

Summary:
The total energy is -26.03 eV/f.u. The excess energy over the best structure of this formula in the dataset is 27 kJ/mol of formula units. The energy relative to the elements, uncorrected is 2.49 eV per formula unit.

The structure in extended XYZ format:
```
4
Lattice="2.673 -1.566 0.000 2.673 1.566 0.000 -2.296 0.000 5.619" Properties=species:S:1:pos:R:3 pbc="T T T"
Si 0.000 0.000 0.000
As 1.299 0.000 2.403
C -0.473 0.000 3.393
C -0.514 0.000 4.903
```

=====

Density functional theory data (GGA-PBE) for crystalline InHg2Pb4 at its relaxed geometry.

Summary:
The total energy is -17.60 eV/f.u. The excess energy over the best structure of this formula in the dataset is 48 kJ/mol of formula units. For the formation enthalpy at 0 K, the calculation gives 55.8 kJ/mol of formula units.

The structure in extended XYZ format:
```
7
Lattice="2.606 1.505 9.213 -2.606 1.505 9.213 0.000 -3.009 9.213" Properties=species:S:1:pos:R:3 pbc="T T T"
In 0.000 0.000 0.000
Hg 0.000 0.000 6.683
Hg 0.000 0.000 20.954
Pb 0.000 0.000 3.477
Pb 0.000 0.000 10.460
Pb 0.000 0.000 17.177
Pb 0.000 0.000 24.161
```

=====

Density functional theory data (GGA-PBE) for crystalline Sn5BiPb6 at its relaxed geometry.

Summary:
The total energy is -45.46 eV/f.u. For the formation enthalpy at 0 K, the calculation gives 66.4 kJ/mol of formula units.

The structure in extended XYZ format:
```
12
Lattice="6.103 -8.841 0.000 6.103 8.841 0.000 -0.996 0.000 3.354" Properties=species:S:1:pos:R:3 pbc="T T T"
Sn 0.000 0.000 0.000
Sn 5.605 5.917 1.677
Sn 6.103 3.051 0.000
Sn 6.103 -3.051 0.000
Sn 5.605 -5.917 1.677
Bi 5.605 0.000 1.677
Pb 2.802 2.951 0.848
Pb 2.257 0.000 2.489
Pb 2.802 -2.951 0.848
Pb 8.408 2.951 2.507
Pb 8.953 0.000 0.866
Pb 8.408 -2.951 2.507
```

=====

Density functional theory data (GGA-PBE) for crystalline HoGa3Cu2 at its relaxed geometry.

Summary:
The total energy is -24.14 eV/f.u. For the formation enthalpy at 0 K, the calculation gives -220.7 kJ/mol of formula units.

The structure in extended XYZ format:
```
18
Lattice="8.040 -2.032 0.000 8.040 2.032 0.000 -2.400 0.000 9.340" Properties=species:S:1:pos:R:3 pbc="T T T"
Ho 0.000 0.000 0.000
Ho 0.802 0.000 6.596
Ho 12.880 0.000 2.744
Ga -0.058 0.000 3.320
Ga 2.648 0.000 3.389
Ga 5.517 0.000 0.584
Ga 3.946 0.000 7.569
Ga 6.841 0.000 4.670
Ga 9.735 0.000 1.771
Ga 8.164 0.000 8.756
Ga 11.033 0.000 5.951
Ga 13.739 0.000 6.020
Cu 3.077 0.000 0.811
Cu 4.371 0.000 5.090
Cu 7.279 0.000 2.184
Cu 6.402 0.000 7.156
Cu 9.310 0.000 4.250
Cu 10.604 0.000 8.529
```

=====

Density functional theory data (GGA-PBE) for crystalline Ta2V2Os at its relaxed geometry.

Summary:
The total energy is -54.38 eV/f.u. For the formation enthalpy at 0 K, the calculation gives -116.8 kJ/mol of formula units.

The structure in extended XYZ format:
```
10
Lattice="3.113 0.000 0.000 0.000 4.461 0.000 -1.542 0.000 11.155" Properties=species:S:1:pos:R:3 pbc="T T T"
Ta 0.002 1.115 1.120
Ta 0.004 3.346 3.387
Ta 1.567 1.115 7.769
Ta 1.569 3.346 10.036
V 0.006 1.115 5.535
V 0.013 1.115 10.026
V 1.558 3.346 1.130
V 1.564 3.346 5.621
Os 0.010 3.346 7.731
Os 1.560 1.115 3.425
```

=====

Density functional theory data (GGA-PBE) for crystalline LiHgAu2 at its relaxed geometry.

Summary:
The total energy is -9.90 eV/f.u. For the formation enthalpy at 0 K, the calculation gives -108.8 kJ/mol of formula units.

The structure in extended XYZ format:
```
4
Lattice="4.058 0.000 0.000 0.000 4.188 0.000 0.000 0.000 4.254" Properties=species:S:1:pos:R:3 pbc="T T T"
Li 0.000 0.000 0.000
Hg 2.029 2.094 0.000
Au 0.000 2.094 2.127
Au 2.029 0.000 2.127
```

=====

Density functional theory data (GGA-PBE) for crystalline Sn2PbI8 at its relaxed geometry.

Summary:
The total energy is -27.90 eV/f.u. The energy relative to the elements, uncorrected is -3.79 eV per formula unit.

The structure in extended XYZ format:
```
11
Lattice="9.122 0.000 0.000 -4.561 7.900 0.000 0.000 0.000 9.082" Properties=species:S:1:pos:R:3 pbc="T T T"
Sn 0.000 5.267 1.735
Sn 4.561 2.633 7.347
Pb 0.000 0.000 4.541
I 0.000 2.493 2.541
I -2.402 6.654 2.541
I 2.159 1.246 6.540
I 0.000 5.267 8.054
I 4.561 2.633 1.028
I 2.402 6.654 2.541
I 6.963 1.246 6.540
I 4.561 5.407 6.540
```

=====

Density functional theory data (GGA-PBE) for crystalline PmTaGa2 at its relaxed geometry.

Summary:
The total energy is -23.57 eV/f.u. The excess energy over the best structure of this formula in the dataset is 0 kJ/mol of formula units. For the formation enthalpy at 0 K, the calculation gives -87.7 kJ/mol of formula units.

The structure in extended XYZ format:
```
4
Lattice="3.552 0.000 0.000 0.000 3.552 0.000 0.000 0.000 6.403" Properties=species:S:1:pos:R:3 pbc="T T T"
Pm 0.000 0.000 0.000
Ta 0.000 0.000 3.201
Ga 1.776 1.776 1.925
Ga 1.776 1.776 4.478
```

=====

Density functional theory data (GGA-PBE) for crystalline LaCdRe2 at its relaxed geometry.

Summary:
The total energy is -27.20 eV/f.u. For the formation enthalpy at 0 K, the calculation gives 341.1 kJ/mol of formula units.

The structure in extended XYZ format:
```
4
Lattice="3.090 -4.681 0.000 3.090 4.681 0.000 0.000 0.000 2.733" Properties=species:S:1:pos:R:3 pbc="T T T"
La 0.000 0.000 0.000
Cd 3.090 0.000 0.000
Re 1.545 2.341 1.366
Re 1.545 -2.341 1.366
```

=====

Density functional theory data (GGA-PBE) for crystalline La2ZnIn8 at its relaxed geometry.

Summary:
The total energy is -36.75 eV/f.u. For the formation enthalpy at 0 K, the calculation gives -358.3 kJ/mol of formula units.

The structure in extended XYZ format:
```
11
Lattice="4.877 0.000 0.000 0.000 4.877 0.000 0.000 0.000 12.338" Properties=species:S:1:pos:R:3 pbc="T T T"
La 0.000 0.000 2.385
La 0.000 0.000 9.953
Zn 0.000 0.000 6.169
In 0.000 2.439 0.000
In 0.000 2.439 4.634
In 0.000 2.439 7.704
In 2.439 0.000 0.000
In 2.439 0.000 4.634
In 2.439 0.000 7.704
In 2.439 2.439 2.380
In 2.439 2.439 9.958
```

=====

Density functional theory data (GGA-PBE) for crystalline CaPmNdRh at its relaxed geometry.

Summary:
The total energy is -19.07 eV/f.u. For the formation enthalpy at 0 K, the calculation gives -19.1 kJ/mol of formula units.

The structure in extended XYZ format:
```
4
Lattice="0.000 3.746 3.746 3.746 0.000 3.746 3.746 3.746 0.000" Properties=species:S:1:pos:R:3 pbc="T T T"
Ca 0.000 0.000 0.000
Pm 5.619 5.619 5.619
Nd 1.873 1.873 1.873
Rh 3.746 3.746 3.746
```

=====

Density functional theory data (GGA-PBE) for crystalline Hf2BRhSe at its relaxed geometry.

Summary:
The total energy is -34.09 eV/f.u. The energy relative to the elements, uncorrected is 3.33 eV per formula unit.

The structure in extended XYZ format:
```
5
Lattice="4.961 0.000 0.000 0.000 4.961 0.000 0.000 0.000 3.839" Properties=species:S:1:pos:R:3 pbc="T T T"
Hf 0.000 2.480 0.000
Hf 2.480 0.000 0.000
B 0.000 0.000 1.920
Rh 2.480 2.480 1.920
Se 0.000 0.000 0.000
```